The following is a GGA-PBE calculation of a geometry-optimized Li4Zn4Ga structure, from the Alexandria database.

Cell lengths 6.0641, 6.0641, 6.0641 Å; angles 96.75, 96.75, 139.89 degrees
Atoms (fractional coordinates):
Li: 0.1638 0.1638 0.3277
Li: 0.1638 0.8362 0.0000
Li: 0.8362 0.1638 0.0000
Li: 0.8362 0.8362 0.6723
Zn: 0.1628 0.5000 0.6628
Zn: 0.5000 0.1628 0.6628
Zn: 0.5000 0.8372 0.3372
Zn: 0.8372 0.5000 0.3372
Ga: 0.5000 0.5000 0.0000

Total energy, eV/f.u.: -17.47
Space group: I4/mmm (139)
Formation energy from the elements, eV per atom: -0.1883


The following is a GGA-PBE calculation of a geometry-optimized LiZnGa2 structure, from the Alexandria database.

Cell lengths 7.5089, 7.5089, 5.3099 Å; angles 90.00, 90.00, 90.00 degrees
Atoms (fractional coordinates):
Li: 0.0000 0.0000 0.0000
Li: 0.0000 0.5000 0.2500
Li: 0.5000 0.0000 0.7500
Li: 0.5000 0.5000 0.5000
Zn: 0.0000 0.0000 0.5000
Zn: 0.0000 0.5000 0.7500
Zn: 0.5000 0.0000 0.2500
Zn: 0.5000 0.5000 0.0000
Ga: 0.2206 0.2500 0.6250
Ga: 0.2500 0.7206 0.8750
Ga: 0.2500 0.7794 0.3750
Ga: 0.2794 0.2500 0.1250
Ga: 0.7206 0.7500 0.1250
Ga: 0.7500 0.2206 0.3750
Ga: 0.7500 0.2794 0.8750
Ga: 0.7794 0.7500 0.6250

Total energy, eV/f.u.: -9.21
Space group: I-42d (122)
Formation energy from the elements, eV per atom: 0.0081


The following is a GGA-PBE calculation of a geometry-optimized Li8Zn2Ga structure, from the Alexandria database.

Cell lengths 7.1962, 7.1962, 4.6015 Å; angles 101.26, 101.26, 117.49 degrees
Atoms (fractional coordinates):
Li: 0.0814 0.3099 0.6135
Li: 0.2179 0.7821 0.0000
Li: 0.3099 0.0814 0.6135
Li: 0.3819 0.3819 0.1800
Li: 0.6181 0.6181 0.8200
Li: 0.6901 0.9186 0.3865
Li: 0.7821 0.2179 0.0000
Li: 0.9186 0.6901 0.3865
Zn: 0.3162 0.6838 0.5000
Zn: 0.6838 0.3162 0.5000
Ga: 0.0000 0.0000 0.0000

Total energy, eV/f.u.: -21.63
Space group: C2/m (12)
Formation energy from the elements, eV per atom: -0.0680
Energy above the most stable polymorph in this dataset, eV per atom: 0.0832


The following is a GGA-PBE calculation of a geometry-optimized LiZn5Ga8 structure, from the Alexandria database.

Cell lengths 6.9201, 6.9201, 6.9201 Å; angles 105.45, 105.45, 117.86 degrees
Atoms (fractional coordinates):
Li: 0.0000 0.0000 0.0000
Zn: 0.0252 0.4950 0.2368
Zn: 0.2116 0.9748 0.4698
Zn: 0.2582 0.7884 0.7632
Zn: 0.5050 0.7418 0.5302
Zn: 0.7500 0.2500 0.5000
Ga: 0.1490 0.3099 0.4796
Ga: 0.1729 0.3903 0.8895
Ga: 0.3306 0.8510 0.1610
Ga: 0.5007 0.2833 0.1105
Ga: 0.6097 0.4993 0.7826
Ga: 0.6901 0.1696 0.8390
Ga: 0.7167 0.8271 0.2174
Ga: 0.8304 0.6694 0.5204

Total energy, eV/f.u.: -32.45
Space group: I-4 (82)
Formation energy from the elements, eV per atom: 0.0035


The following is a GGA-PBE calculation of a geometry-optimized LiZn4Ga structure, from the Alexandria database.

Cell lengths 4.5128, 7.6371, 5.5701 Å; angles 90.00, 97.57, 90.00 degrees
Atoms (fractional coordinates):
Li: 0.0000 0.0000 0.0000
Li: 0.5000 0.5000 0.0000
Zn: 0.0285 0.3311 0.2429
Zn: 0.0285 0.6689 0.2429
Zn: 0.4715 0.1689 0.7571
Zn: 0.4715 0.8311 0.7571
Zn: 0.5285 0.1689 0.2429
Zn: 0.5285 0.8311 0.2429
Zn: 0.9715 0.3311 0.7571
Zn: 0.9715 0.6689 0.7571
Ga: 0.0000 0.0000 0.5000
Ga: 0.5000 0.5000 0.5000

Total energy, eV/f.u.: -10.48
Space group: C2/m (12)
Formation energy from the elements, eV per atom: -0.0746
Energy above the most stable polymorph in this dataset, eV per atom: 0.0411


The following is a GGA-PBE calculation of a geometry-optimized Li6Zn5Ga structure, from the Alexandria database.

Cell lengths 7.4083, 7.4083, 3.8998 Å; angles 105.11, 105.11, 107.93 degrees
Atoms (fractional coordinates):
Li: 0.0837 0.4156 0.7494
Li: 0.2497 0.2497 0.2489
Li: 0.4156 0.0837 0.7494
Li: 0.5844 0.9163 0.2506
Li: 0.7503 0.7503 0.7511
Li: 0.9163 0.5844 0.2506
Zn: 0.1672 0.8328 0.0000
Zn: 0.3323 0.6677 0.5000
Zn: 0.5000 0.5000 0.0000
Zn: 0.6677 0.3323 0.5000
Zn: 0.8328 0.1672 0.0000
Ga: 0.0000 0.0000 0.5000

Total energy, eV/f.u.: -23.00
Space group: C2/m (12)
Formation energy from the elements, eV per atom: -0.1764


The following is a GGA-PBE calculation of a geometry-optimized Li3Zn4Ga2 structure, from the Alexandria database.

Cell lengths 5.1892, 5.1892, 8.2281 Å; angles 119.91, 119.91, 49.98 degrees
Atoms (fractional coordinates):
Li: 0.0000 0.0000 0.0000
Li: 0.3329 0.3329 0.3334
Li: 0.6671 0.6671 0.6666
Zn: 0.0535 0.0535 0.3883
Zn: 0.2773 0.2773 0.9447
Zn: 0.7227 0.7227 0.0553
Zn: 0.9465 0.9465 0.6117
Ga: 0.3900 0.3900 0.7247
Ga: 0.6100 0.6100 0.2753

Total energy, eV/f.u.: -18.78
Space group: C2/m (12)
Formation energy from the elements, eV per atom: -0.2100


The following is a GGA-PBE calculation of a geometry-optimized Li6Zn2Ga structure, from the Alexandria database.

Cell lengths 5.1943, 5.1943, 5.1943 Å; angles 96.64, 96.64, 96.64 degrees
Atoms (fractional coordinates):
Li: 0.0000 0.3343 0.6657
Li: 0.0000 0.6657 0.3343
Li: 0.3343 0.0000 0.6657
Li: 0.3343 0.6657 0.0000
Li: 0.6657 0.0000 0.3343
Li: 0.6657 0.3343 0.0000
Zn: 0.1648 0.1648 0.1648
Zn: 0.8352 0.8352 0.8352
Ga: 0.5000 0.5000 0.5000

Total energy, eV/f.u.: -18.67
Space group: R-3m (166)
Formation energy from the elements, eV per atom: -0.1787
Energy above the most stable polymorph in this dataset, eV per atom: 0.0000


The following is a GGA-PBE calculation of a geometry-optimized Li3Zn3Ga5 structure, from the Alexandria database.

Cell lengths 9.0909, 9.0909, 2.7173 Å; angles 90.00, 90.00, 120.00 degrees
Atoms (fractional coordinates):
Li: 0.0000 0.5852 0.0000
Li: 0.4148 0.4148 0.0000
Li: 0.5852 0.0000 0.0000
Zn: 0.0000 0.8341 0.5000
Zn: 0.1659 0.1659 0.5000
Zn: 0.8341 0.0000 0.5000
Ga: 0.0000 0.3344 0.5000
Ga: 0.3333 0.6667 0.5000
Ga: 0.3344 0.0000 0.5000
Ga: 0.6656 0.6656 0.5000
Ga: 0.6667 0.3333 0.5000

Total energy, eV/f.u.: -25.05
Space group: P-62m (189)
Formation energy from the elements, eV per atom: -0.0318


The following is a GGA-PBE calculation of a geometry-optimized Li12Zn6Ga structure, from the Alexandria database.

Cell lengths 6.8027, 6.8027, 6.8027 Å; angles 89.26, 89.26, 89.26 degrees
Atoms (fractional coordinates):
Li: 0.0238 0.3049 0.9312
Li: 0.0688 0.9762 0.6951
Li: 0.1229 0.3461 0.4670
Li: 0.3049 0.9312 0.0238
Li: 0.3461 0.4670 0.1229
Li: 0.4670 0.1229 0.3461
Li: 0.5330 0.8771 0.6539
Li: 0.6539 0.5330 0.8771
Li: 0.6951 0.0688 0.9762
Li: 0.8771 0.6539 0.5330
Li: 0.9312 0.0238 0.3049
Li: 0.9762 0.6951 0.0688
Zn: 0.2279 0.6109 0.7614
Zn: 0.2386 0.7721 0.3891
Zn: 0.3891 0.2386 0.7721
Zn: 0.6109 0.7614 0.2279
Zn: 0.7614 0.2279 0.6109
Zn: 0.7721 0.3891 0.2386
Ga: 0.5000 0.5000 0.5000

Total energy, eV/f.u.: -36.37
Space group: R-3 (148)
Formation energy from the elements, eV per atom: -0.1439